# 1
! HoAsPd (SCAN, single point on PBEsol structure); values from VASP
! Energy relative to the elements ... -1318 meV per atom
&SYSTEM
  ibrav = 0, nat = 12, ntyp = 3
/
ATOMIC_SPECIES
Ho 164.93 Ho.upf
Pd 106.42 Pd.upf
As 74.92 As.upf
CELL_PARAMETERS angstrom
4.074 0.000 0.000
0.000 6.910 0.000
0.000 0.000 7.812
ATOMIC_POSITIONS angstrom
Ho 3.056 6.709 1.486
Ho 1.019 3.657 5.392
Ho 1.019 0.202 6.326
Ho 3.056 3.254 2.420
Pd 3.056 2.476 7.330
Pd 1.019 4.434 0.482
Pd 3.056 5.931 4.388
Pd 1.019 0.979 3.424
As 3.056 1.723 4.851
As 3.056 5.178 6.867
As 1.019 5.187 2.961
As 1.019 1.732 0.945

---

# 2
! HoAsS (SCAN, single point on PBEsol structure); values from VASP
! Energy relative to the elements, uncorrected ... -1.766 eV/atom
&SYSTEM
  ibrav = 0, nat = 6, ntyp = 3
/
ATOMIC_SPECIES
Ho 164.93 Ho.upf
S 32.06 S.upf
As 74.92 As.upf
CELL_PARAMETERS angstrom
3.759 0.000 0.000
0.000 3.759 0.000
0.000 0.000 8.340
ATOMIC_POSITIONS angstrom
Ho 1.880 0.000 2.424
Ho 0.000 1.880 5.916
S 0.000 1.880 3.121
S 1.880 0.000 5.219
As 1.880 1.880 0.000
As 0.000 0.000 0.000

---

# 3
! HoAsS (SCAN, single point on PBEsol structure); values from VASP
! Energy relative to the elements, uncorrected ... -1.660 eV/atom
&SYSTEM
  ibrav = 0, nat = 12, ntyp = 3
/
ATOMIC_SPECIES
Ho 164.93 Ho.upf
S 32.06 S.upf
As 74.92 As.upf
CELL_PARAMETERS angstrom
3.713 0.000 0.000
0.000 6.908 0.000
0.000 0.000 9.337
ATOMIC_POSITIONS angstrom
Ho 0.928 4.877 7.848
Ho 2.785 2.031 1.490
Ho 2.785 5.485 3.179
Ho 0.928 1.423 6.158
S 2.785 6.302 6.153
S 0.928 0.606 3.185
S 2.785 2.848 7.853
S 0.928 4.060 1.484
As 2.785 2.720 4.277
As 0.928 0.734 8.946
As 0.928 4.188 5.060
As 2.785 6.174 0.391

---

# 4
! InAs3I (SCAN, single point on PBEsol structure); values from VASP
! Energy relative to the elements, uncorrected ... 1.007 eV/atom
&SYSTEM
  ibrav = 0, nat = 5, ntyp = 3
/
ATOMIC_SPECIES
As 74.92 As.upf
In 114.82 In.upf
I 126.90 I.upf
CELL_PARAMETERS angstrom
5.187 0.000 0.000
0.000 5.187 0.000
0.000 0.000 5.187
ATOMIC_POSITIONS angstrom
As 0.000 2.593 0.000
As 2.593 0.000 0.000
As 0.000 0.000 2.593
In 0.000 0.000 0.000
I 2.593 2.593 2.593

---

# 5
! InAsI2O (SCAN, single point on PBEsol structure); values from VASP
! Energy relative to the elements, uncorrected ... 0.055 eV/atom
&SYSTEM
  ibrav = 0, nat = 5, ntyp = 4
/
ATOMIC_SPECIES
In 114.82 In.upf
I 126.90 I.upf
O 16.00 O.upf
As 74.92 As.upf
CELL_PARAMETERS angstrom
3.873 0.000 0.000
0.000 5.844 0.000
0.000 0.000 5.844
ATOMIC_POSITIONS angstrom
In 0.000 0.000 0.000
I 0.000 2.922 0.000
I 0.000 0.000 2.922
O 1.936 0.000 0.000
As 1.936 2.922 2.922

---

# 6
! InSb2AsI (SCAN, single point on PBEsol structure); values from VASP
! Energy relative to the elements, uncorrected ... 0.947 eV/atom
&SYSTEM
  ibrav = 0, nat = 5, ntyp = 4
/
ATOMIC_SPECIES
In 114.82 In.upf
I 126.90 I.upf
As 74.92 As.upf
Sb 121.76 Sb.upf
CELL_PARAMETERS angstrom
-2.174 -3.833 3.266
4.353 0.453 3.429
-2.666 3.951 2.863
ATOMIC_POSITIONS angstrom
In 0.000 0.000 0.000
I -1.087 -1.917 1.633
As -0.244 0.285 4.779
Sb -1.333 1.976 1.431
Sb 2.176 0.226 1.715

---

# 7
! AsIr2I (SCAN, single point on PBEsol structure); values from VASP
! Energy relative to the elements, uncorrected ... 0.481 eV/atom
&SYSTEM
  ibrav = 0, nat = 8, ntyp = 3
/
ATOMIC_SPECIES
Ir 192.22 Ir.upf
As 74.92 As.upf
I 126.90 I.upf
CELL_PARAMETERS angstrom
4.678 0.000 0.000
0.000 4.678 0.000
-2.339 -2.339 7.471
ATOMIC_POSITIONS angstrom
Ir 1.170 0.855 5.603
Ir 1.484 3.509 1.868
Ir 3.194 1.170 1.868
Ir -1.170 -0.855 5.603
As 2.339 2.339 0.000
As 2.339 0.000 3.736
I 0.000 2.339 3.736
I 0.000 0.000 0.000

---

# 8
! AsIrI2N (SCAN, single point on PBEsol structure); values from VASP
! Energy relative to the elements, uncorrected ... 1.580 eV/atom
&SYSTEM
  ibrav = 0, nat = 5, ntyp = 4
/
ATOMIC_SPECIES
As 74.92 As.upf
Ir 192.22 Ir.upf
N 14.01 N.upf
I 126.90 I.upf
CELL_PARAMETERS angstrom
-3.386 0.714 0.567
-0.645 -4.907 2.331
1.268 2.146 4.870
ATOMIC_POSITIONS angstrom
As 0.000 0.000 0.000
Ir -1.381 -1.023 3.884
N -1.693 0.357 0.283
I 0.634 1.073 2.435
I -0.323 -2.454 1.165

---

# 9
! AsIrIO2 (SCAN, single point on PBEsol structure); values from VASP
! Energy relative to the elements, uncorrected ... 0.120 eV/atom
&SYSTEM
  ibrav = 0, nat = 5, ntyp = 4
/
ATOMIC_SPECIES
Ir 192.22 Ir.upf
O 16.00 O.upf
As 74.92 As.upf
I 126.90 I.upf
CELL_PARAMETERS angstrom
-1.664 -2.617 2.157
1.642 -2.724 -2.038
5.958 0.080 4.693
ATOMIC_POSITIONS angstrom
Ir 0.000 0.000 0.000
O 0.821 -1.362 -1.019
O -0.832 -1.309 1.078
As 2.968 -2.630 2.406
I 2.979 0.040 2.347

---

# 10
! As2IrSeI (SCAN, single point on PBEsol structure); values from VASP
! Energy relative to the elements, uncorrected ... 2.190 eV/atom
&SYSTEM
  ibrav = 0, nat = 5, ntyp = 4
/
ATOMIC_SPECIES
As 74.92 As.upf
Ir 192.22 Ir.upf
I 126.90 I.upf
Se 78.96 Se.upf
CELL_PARAMETERS angstrom
-2.923 3.983 1.248
-1.861 -2.627 4.026
3.791 1.854 2.962
ATOMIC_POSITIONS angstrom
As -0.930 -1.314 2.013
As 1.895 0.927 1.481
Ir -0.497 1.605 4.118
I 0.000 0.000 0.000
Se -1.462 1.991 0.624

---

# 11
! KTeAsI2 (SCAN, single point on PBEsol structure); values from VASP
! Energy relative to the elements, uncorrected ... 0.592 eV/atom
&SYSTEM
  ibrav = 0, nat = 5, ntyp = 4
/
ATOMIC_SPECIES
As 74.92 As.upf
Te 127.60 Te.upf
I 126.90 I.upf
K 39.10 K.upf
CELL_PARAMETERS angstrom
-0.221 -5.257 -3.307
5.993 -1.049 1.267
-1.688 -3.255 5.288
ATOMIC_POSITIONS angstrom
As 2.042 -4.781 1.624
Te -0.844 -1.628 2.644
I -0.111 -2.629 -1.653
I 2.997 -0.525 0.633
K 0.000 0.000 0.000

---

# 12
! K2TlAsI6 (SCAN, single point on PBEsol structure); values from VASP
! Energy relative to the elements, uncorrected ... -0.789 eV/atom
&SYSTEM
  ibrav = 0, nat = 10, ntyp = 4
/
ATOMIC_SPECIES
K 39.10 K.upf
I 126.90 I.upf
Tl 204.38 Tl.upf
As 74.92 As.upf
CELL_PARAMETERS angstrom
8.460 0.000 0.000
4.230 7.326 0.000
4.230 2.442 6.907
ATOMIC_POSITIONS angstrom
K 4.230 2.442 1.727
K 12.690 7.326 5.180
I 6.230 6.172 1.633
I 8.460 2.309 1.633
I 10.690 6.172 1.633
I 8.460 7.459 5.274
I 10.690 3.597 5.274
I 6.230 3.597 5.274
Tl 8.460 4.884 3.454
As 0.000 0.000 0.000

---

# 13
! LaSbAsI2 (SCAN, single point on PBEsol structure); values from VASP
! Energy relative to the elements, uncorrected ... -0.214 eV/atom
&SYSTEM
  ibrav = 0, nat = 5, ntyp = 4
/
ATOMIC_SPECIES
Sb 121.76 Sb.upf
La 138.91 La.upf
I 126.90 I.upf
As 74.92 As.upf
CELL_PARAMETERS angstrom
5.436 0.000 0.000
0.000 5.436 0.000
0.000 0.000 5.512
ATOMIC_POSITIONS angstrom
Sb 0.000 0.000 2.756
La 2.718 2.718 2.756
I 2.718 0.000 0.000
I 0.000 2.718 0.000
As 0.000 0.000 0.000

---

# 14
! LaAs2SeI (SCAN, single point on PBEsol structure); values from VASP
! Energy relative to the elements, uncorrected ... 0.349 eV/atom
&SYSTEM
  ibrav = 0, nat = 5, ntyp = 4
/
ATOMIC_SPECIES
Se 78.96 Se.upf
La 138.91 La.upf
As 74.92 As.upf
I 126.90 I.upf
CELL_PARAMETERS angstrom
5.478 0.000 0.000
0.000 5.773 0.000
0.000 0.000 5.773
ATOMIC_POSITIONS angstrom
Se 2.739 0.000 0.000
La 0.000 0.000 0.000
As 0.000 2.886 0.000
As 0.000 0.000 2.886
I 2.739 2.886 2.886

---

# 15
! LiAs3I (SCAN, single point on PBEsol structure); values from VASP
! Energy relative to the elements, uncorrected ... 1.047 eV/atom
&SYSTEM
  ibrav = 0, nat = 5, ntyp = 3
/
ATOMIC_SPECIES
As 74.92 As.upf
I 126.90 I.upf
Li 6.94 Li.upf
CELL_PARAMETERS angstrom
5.359 0.000 0.000
0.000 5.359 0.000
0.000 0.000 5.359
ATOMIC_POSITIONS angstrom
As 0.000 0.000 2.679
As 2.679 0.000 0.000
As 0.000 2.679 0.000
I 0.000 0.000 0.000
Li 2.679 2.679 2.679

---

# 16
! LiAsI2N (SCAN, single point on PBEsol structure); values from VASP
! Energy relative to the elements, uncorrected ... 0.205 eV/atom
&SYSTEM
  ibrav = 0, nat = 5, ntyp = 4
/
ATOMIC_SPECIES
I 126.90 I.upf
As 74.92 As.upf
Li 6.94 Li.upf
N 14.01 N.upf
CELL_PARAMETERS angstrom
3.691 0.000 0.000
0.000 5.866 0.000
0.000 0.000 5.866
ATOMIC_POSITIONS angstrom
I 0.000 0.000 2.933
I 0.000 2.933 0.000
As 0.000 0.000 0.000
Li 1.846 2.933 2.933
N 1.846 0.000 0.000

---

# 17
! Li6AsS5I (SCAN, single point on PBEsol structure); values from VASP
! Energy relative to the elements, uncorrected ... -1.146 eV/atom
&SYSTEM
  ibrav = 0, nat = 13, ntyp = 4
/
ATOMIC_SPECIES
Li 6.94 Li.upf
As 74.92 As.upf
S 32.06 S.upf
I 126.90 I.upf
CELL_PARAMETERS angstrom
-5.289 1.325 4.499
-6.677 -1.871 -1.749
-3.050 -5.471 3.439
ATOMIC_POSITIONS angstrom
Li -10.859 -4.580 2.338
Li -12.699 -6.444 4.471
Li -10.914 -4.796 6.983
Li -13.501 -3.760 4.741
Li -9.344 -5.872 4.375
Li -10.598 -2.289 4.687
As -7.511 -3.014 3.114
S -7.129 -4.944 4.054
S -8.261 -1.567 4.555
S -8.994 -3.226 1.527
S -5.645 -2.304 2.242
S -11.284 -4.558 4.646
I -9.675 -7.221 1.731

---

# 18
! Li6AsS5I (SCAN, single point on PBEsol structure); values from VASP
! Energy relative to the elements, uncorrected ... -1.144 eV/atom
&SYSTEM
  ibrav = 0, nat = 26, ntyp = 4
/
ATOMIC_SPECIES
S 32.06 S.upf
Li 6.94 Li.upf
As 74.92 As.upf
I 126.90 I.upf
CELL_PARAMETERS angstrom
7.135 0.040 -0.016
3.593 6.164 -0.016
3.510 2.030 11.828
ATOMIC_POSITIONS angstrom
S 8.744 5.083 0.944
S 5.279 2.996 6.778
S 3.500 4.098 3.882
S 8.887 2.921 6.752
S 3.474 2.066 0.864
S 7.024 6.080 4.534
S 5.209 5.231 0.838
S 10.528 4.070 10.448
S 7.053 2.004 9.796
S 10.522 6.058 6.858
Li 5.774 4.660 3.107
Li 8.674 3.695 9.021
Li 2.991 1.815 3.217
Li 8.703 5.222 11.395
Li 13.932 8.082 11.357
Li 7.111 3.923 5.481
Li 11.363 5.891 9.179
Li 8.217 6.823 6.438
Li 4.820 2.702 9.131
Li 8.257 2.703 0.524
Li 9.019 5.895 3.265
Li 12.199 7.029 5.443
As 7.045 6.176 0.130
As 10.622 4.041 6.044
I 7.129 2.075 3.181
I 7.109 6.159 9.095

---

# 19
! LiAsSe2I (SCAN, single point on PBEsol structure); values from VASP
! Energy relative to the elements, uncorrected ... 0.447 eV/atom
&SYSTEM
  ibrav = 0, nat = 5, ntyp = 4
/
ATOMIC_SPECIES
Se 78.96 Se.upf
I 126.90 I.upf
As 74.92 As.upf
Li 6.94 Li.upf
CELL_PARAMETERS angstrom
4.435 0.000 0.000
0.000 4.435 0.000
0.000 0.000 5.588
ATOMIC_POSITIONS angstrom
Se 2.218 0.000 0.000
Se 0.000 2.218 0.000
I 2.218 2.218 2.794
As 0.000 0.000 2.794
Li 0.000 0.000 0.000

---

# 20
! LiTeAsI2 (SCAN, single point on PBEsol structure); values from VASP
! Energy relative to the elements, uncorrected ... 0.382 eV/atom
&SYSTEM
  ibrav = 0, nat = 5, ntyp = 4
/
ATOMIC_SPECIES
As 74.92 As.upf
Li 6.94 Li.upf
Te 127.60 Te.upf
I 126.90 I.upf
CELL_PARAMETERS angstrom
-0.504 4.778 -1.623
-5.019 -0.305 0.661
0.537 1.712 4.872
ATOMIC_POSITIONS angstrom
As -2.493 3.092 1.955
Li 0.000 0.000 0.000
Te 0.269 0.856 2.436
I -2.509 -0.153 0.330
I -0.252 2.389 -0.812

---

# 21
! MgSbAsI2 (SCAN, single point on PBEsol structure); values from VASP
! Energy relative to the elements, uncorrected ... 0.355 eV/atom
&SYSTEM
  ibrav = 0, nat = 5, ntyp = 4
/
ATOMIC_SPECIES
As 74.92 As.upf
Mg 24.30 Mg.upf
Sb 121.76 Sb.upf
I 126.90 I.upf
CELL_PARAMETERS angstrom
5.554 0.000 0.000
0.000 5.554 0.000
0.000 0.000 5.481
ATOMIC_POSITIONS angstrom
As 0.000 0.000 0.000
Mg 2.777 2.777 2.741
Sb 0.000 0.000 2.741
I 2.777 0.000 0.000
I 0.000 2.777 0.000

---

# 22
! MgTeAs2I (SCAN, single point on PBEsol structure); values from VASP
! Energy relative to the elements, uncorrected ... 0.718 eV/atom
&SYSTEM
  ibrav = 0, nat = 5, ntyp = 4
/
ATOMIC_SPECIES
Mg 24.30 Mg.upf
As 74.92 As.upf
Te 127.60 Te.upf
I 126.90 I.upf
CELL_PARAMETERS angstrom
-3.808 3.486 -1.201
-2.896 -3.896 -2.127
-2.493 -0.953 5.142
ATOMIC_POSITIONS angstrom
Mg -4.599 -0.682 0.907
As -1.904 1.743 -0.600
As -1.448 -1.948 -1.063
Te 0.000 0.000 0.000
I -1.247 -0.477 2.571

---

# 23
! MnAs2I (SCAN, single point on PBEsol structure); values from VASP
! Energy relative to the elements, uncorrected ... 0.283 eV/atom
&SYSTEM
  ibrav = 0, nat = 8, ntyp = 3
/
ATOMIC_SPECIES
As 74.92 As.upf
Mn 54.94 Mn.upf
I 126.90 I.upf
CELL_PARAMETERS angstrom
-4.349 -4.069 -1.645
4.044 -2.815 -3.728
1.682 0.123 6.853
ATOMIC_POSITIONS angstrom
As -1.338 -4.090 -0.924
As 1.799 -4.454 -2.366
As 0.578 -3.867 2.236
As 1.716 -1.111 4.014
Mn -0.152 -3.442 -2.686
Mn -1.410 -3.694 1.261
I 2.787 -3.067 0.219
I 0.000 0.000 0.000

---

# 24
! MnAsI2N (SCAN, single point on PBEsol structure); values from VASP
! Energy relative to the elements, uncorrected ... 0.668 eV/atom
&SYSTEM
  ibrav = 0, nat = 5, ntyp = 4
/
ATOMIC_SPECIES
N 14.01 N.upf
I 126.90 I.upf
Mn 54.94 Mn.upf
As 74.92 As.upf
CELL_PARAMETERS angstrom
-0.893 -2.617 -2.391
4.692 -3.026 1.560
-3.096 -2.688 4.098
ATOMIC_POSITIONS angstrom
N -0.446 -1.309 -1.196
I 2.346 -1.513 0.780
I -1.548 -1.344 2.049
Mn 0.352 -4.166 1.634
As 0.000 0.000 0.000

---

# 25
! MnTeAsI2 (SCAN, single point on PBEsol structure); values from VASP
! Energy relative to the elements, uncorrected ... 0.353 eV/atom
&SYSTEM
  ibrav = 0, nat = 5, ntyp = 4
/
ATOMIC_SPECIES
Mn 54.94 Mn.upf
I 126.90 I.upf
Te 127.60 Te.upf
As 74.92 As.upf
CELL_PARAMETERS angstrom
-1.444 -2.338 4.675
-0.779 -4.448 -2.466
4.898 -1.328 0.848
ATOMIC_POSITIONS angstrom
Mn 0.000 0.000 0.000
I -0.390 -2.224 -1.233
I 2.449 -0.664 0.424
Te -0.722 -1.169 2.337
As 1.337 -4.057 1.529

---

# 26
! ZrMn2AsI (SCAN, single point on PBEsol structure); values from VASP
! Energy relative to the elements, uncorrected ... 0.524 eV/atom
&SYSTEM
  ibrav = 0, nat = 5, ntyp = 4
/
ATOMIC_SPECIES
As 74.92 As.upf
Mn 54.94 Mn.upf
I 126.90 I.upf
Zr 91.22 Zr.upf
CELL_PARAMETERS angstrom
4.475 0.000 0.000
0.000 4.475 0.000
0.000 0.000 5.600
ATOMIC_POSITIONS angstrom
As 0.000 0.000 0.000
Mn 0.000 2.237 0.000
Mn 2.237 0.000 0.000
I 0.000 0.000 2.800
Zr 2.237 2.237 2.800

---

| no. | magnetization (μB per formula unit) |
| --- | --- |
| 1 | 0.0 |
| 2 | 0.0 |
| 3 | 0.0 |
| 4 | 0.0 |
| 5 | 0.0 |
| 6 | 0.4 |
| 7 | 0.0 |
| 8 | 1.6 |
| 9 | 0.0 |
| 10 | 1.7 |
| 11 | 0.0 |
| 12 | 0.0 |
| 13 | 0.2 |
| 14 | 1.1 |
| 15 | 0.0 |
| 16 | 0.0 |
| 17 | 0.0 |
| 18 | 0.0 |
| 19 | 0.0 |
| 20 | 0.3 |
| 21 | 0.0 |
| 22 | 0.0 |
| 23 | 1.9 |
| 24 | 5.2 |
| 25 | 2.8 |
| 26 | 5.2 |